[1]
VASP calculation (PBE) on a geometry-optimized Tl2ReW structure.

Lattice parameters (Å, degrees): 2.9895 4.4961 5.7458 90.00 90.00 90.00
Site moments in Bohr magnetons follow the coordinates.
Element x y z (fractional)
W (0.5000, 0.5000, 0.2500)  0.28
Re (0.5000, 0.5000, 0.7500)  0.54
Tl (0.0000, 0.0000, 0.9985)  0.01
Tl (0.0000, 0.0000, 0.5015)  0.01

Values from the calculation:
E_form: 544.1 kJ/mol of formula units
crystal system: orthorhombic
energy relative to the lowest polymorph listed for this composition: 868.7 meV per atom

[2]
VASP calculation (PBE) on a geometry-optimized GaAuN2F structure.

Lattice parameters (Å, degrees): 3.9501 3.9501 5.8032 90.00 90.00 90.00
Site moments in Bohr magnetons follow the coordinates.
Element x y z (fractional)
Ga (0.5000, 0.5000, 0.5000)  0.03
N (0.0000, 0.5000, 0.0000)  0.99
F (0.0000, 0.0000, 0.5000)  0.02
Au (0.0000, 0.0000, 0.0000)  0.33
N (0.5000, 0.0000, 0.0000)  0.99

Values from the calculation:
crystal system: tetragonal
energy relative to the lowest polymorph listed for this composition: 305.1 meV per atom
raw formation energy: 5.0 eV/f.u.